No. 1
The following is a DFT calculation (PBE-GGA) of ZrRe2Se after structural relaxation.

Unit cell a=5.0452 b=3.0731 c=4.5401 alpha=90.70 beta=90.00 gamma=90.00
Sites, in units of the cell vectors:
Re  0.0000  0.0718  0.9951
Re  0.0000  0.4282  0.5049
Se  0.5000  0.2500  0.2500
Zr  0.5000  0.7500  0.7500

V   70 Å³ per cell
Symmetry   P2/m (10)
Uncorrected formation energy   148 meV/atom
Calculated total energy   -36.34 eV/cell

=====

No. 2
The following is a DFT calculation (PBE-GGA) of InS2BrCl after structural relaxation.

Unit cell a=5.1708 b=5.1708 c=5.0093 alpha=90.00 beta=90.00 gamma=90.00
Sites, in units of the cell vectors:
S  0.0000  0.5000  0.0000
S  0.5000  0.0000  0.0000
Cl  0.0000  0.0000  0.5000
Br  0.5000  0.5000  0.5000
In  0.0000  0.0000  0.0000

V   134 Å³ per cell
E above lowest polymorph   0.000 eV per atom
Symmetry   P4/mmm (123)
Uncorrected formation energy   288 meV/atom
Calculated total energy   -13.07 eV/cell